VASP calculation (GGA-PBE) on a relaxed structure of GdMnH3.

It has space group Pm-3m (No. 221), with a = 3.588 Å, b = 3.588 Å, c = 3.588 Å, α = 90.00°, β = 90.00° and γ = 90.00°. The asymmetric unit holds Gd at (0.000, 0.000, 0.000), Mn at (0.500, 0.500, 0.500) and H at (0.000, 0.500, 0.500).

Its total DFT energy (no corrections) is -7.00 eV per atom.